This record from Alexandria via LeMat-Bulk describes crystalline AlP2O6 at its relaxed geometry. The functional is PBE-GGA.

Computed properties:
As for the total magnetization: 2.91 Bohr magnetons per cell. For the total energy, the calculation gives -6.91 eV/atom. Its crystal system is trigonal. The distance to the lowest polymorph of the same formula is 101 kJ/mol of formula units. The calculation puts the theoretical density at 2.58 g/cm³. Its raw formation energy is -1.99 eV/atom.

```
data_AlP2O6
_chemical_formula_sum 'Al3 P6 O18'
_symmetry_space_group_name_H-M 'R 3'
_symmetry_Int_Tables_number 146
_symmetry_space_group_name_Hall 'R 3'
_cell_length_a 4.9525
_cell_length_b 4.9525
_cell_length_c 16.8094
_cell_angle_alpha 90.00
_cell_angle_beta 90.00
_cell_angle_gamma 120.00
loop_
_atom_site_label
_atom_site_type_symbol
_atom_site_fract_x
_atom_site_fract_y
_atom_site_fract_z
_atom_site_occupancy
Al1 Al 0.0000 0.0000 0.0000 1
P1 P 0.0000 0.0000 0.2680 1
P2 P 0.0000 0.0000 0.3990 1
O1 O 0.0010 0.5995 0.5910 1
O2 O 0.0020 0.4058 0.7431 1
```

***

This record from Alexandria via LeMat-Bulk describes crystalline AlP2O2 at its relaxed geometry. The functional is PBE-GGA.

Computed properties:
As for the total magnetization: 0.00 Bohr magnetons per cell. For the total energy, the calculation gives -4.60 eV/atom. Its crystal system is tetragonal. The distance to the lowest polymorph of the same formula is 497 kJ/mol of formula units. The calculation puts the theoretical density at 2.66 g/cm³. Its raw formation energy is 0.30 eV/atom.

```
data_AlP2O2
_chemical_formula_sum 'Al1 P2 O2'
_symmetry_space_group_name_H-M 'P 4/m m m'
_symmetry_Int_Tables_number 123
_symmetry_space_group_name_Hall '-P 4 2'
_cell_length_a 4.707
_cell_length_b 4.707
_cell_length_c 3.403
_cell_angle_alpha 90.00
_cell_angle_beta 90.00
_cell_angle_gamma 90.00
loop_
_atom_site_label
_atom_site_type_symbol
_atom_site_fract_x
_atom_site_fract_y
_atom_site_fract_z
_atom_site_occupancy
Al1 Al 0.000 0.000 0.000 1
P1 P 0.000 0.500 0.000 1
O1 O 0.000 0.000 0.500 1
O2 O 0.500 0.500 0.500 1
```

***

This record from Alexandria via LeMat-Bulk describes crystalline AlPO at its relaxed geometry. The functional is PBE-GGA.

Computed properties:
As for the total magnetization: 0.00 Bohr magnetons per cell. For the total energy, the calculation gives -6.33 eV/atom. Its crystal system is monoclinic. The distance to the lowest polymorph of the same formula is 12 kJ/mol of formula units. The calculation puts the theoretical density at 3.07 g/cm³. Its raw formation energy is -1.63 eV/atom.

```
data_AlPO
_chemical_formula_sum 'Al4 P4 O4'
_symmetry_space_group_name_H-M 'C 1 m 1'
_symmetry_Int_Tables_number 8
_symmetry_space_group_name_Hall 'C -2y'
_cell_length_a 5.345
_cell_length_b 11.684
_cell_length_c 3.170
_cell_angle_alpha 90.00
_cell_angle_beta 126.02
_cell_angle_gamma 90.00
loop_
_atom_site_label
_atom_site_type_symbol
_atom_site_fract_x
_atom_site_fract_y
_atom_site_fract_z
_atom_site_occupancy
Al1 Al 0.000 0.180 0.000 1
P1 P 0.204 0.500 0.710 1
P2 P 0.352 0.000 0.861 1
O1 O 0.358 0.261 0.359 1
```

***

This record from Alexandria via LeMat-Bulk describes crystalline AlPO4 at its relaxed geometry. The functional is PBE-GGA.

Computed properties:
As for the total magnetization: 0.04 Bohr magnetons per cell. For the total energy, the calculation gives -5.14 eV/atom. Its crystal system is hexagonal. The calculation puts the theoretical density at 2.22 g/cm³. Its raw formation energy is -0.31 eV/atom.

```
data_AlPO4
_chemical_formula_sum 'Al3 P3 O12'
_symmetry_space_group_name_H-M 'P 64 2 2'
_symmetry_Int_Tables_number 181
_symmetry_space_group_name_Hall 'P 64 2 (0 0 2)'
_cell_length_a 5.3917
_cell_length_b 5.3917
_cell_length_c 10.8922
_cell_angle_alpha 90.00
_cell_angle_beta 90.00
_cell_angle_gamma 120.00
loop_
_atom_site_label
_atom_site_type_symbol
_atom_site_fract_x
_atom_site_fract_y
_atom_site_fract_z
_atom_site_occupancy
Al1 Al 0.0000 0.5000 0.3333 1
P1 P 0.0000 0.5000 0.8333 1
O1 O 0.2658 0.5639 0.5665 1
```

***

This record from Alexandria via LeMat-Bulk describes crystalline AlP2O6 at its relaxed geometry. The functional is PBE-GGA.

Computed properties:
As for the total magnetization: 0.92 Bohr magnetons per cell. For the total energy, the calculation gives -7.03 eV/atom. Its crystal system is monoclinic. The distance to the lowest polymorph of the same formula is 0 kJ/mol of formula units. The calculation puts the theoretical density at 2.73 g/cm³. Its raw formation energy is -2.10 eV/atom.

```
data_AlP2O6
_chemical_formula_sum 'Al2 P4 O12'
_symmetry_space_group_name_H-M 'C 1 2/m 1'
_symmetry_Int_Tables_number 12
_symmetry_space_group_name_Hall '-C 2y'
_cell_length_a 9.323
_cell_length_b 2.993
_cell_length_c 8.117
_cell_angle_alpha 90.00
_cell_angle_beta 96.21
_cell_angle_gamma 90.00
loop_
_atom_site_label
_atom_site_type_symbol
_atom_site_fract_x
_atom_site_fract_y
_atom_site_fract_z
_atom_site_occupancy
Al1 Al 0.000 0.000 0.000 1
P1 P 0.195 0.500 0.752 1
O1 O 0.087 0.500 0.892 1
O2 O 0.151 0.000 0.167 1
O3 O 0.163 0.000 0.660 1
```

***

This record from Alexandria via LeMat-Bulk describes crystalline AlPO at its relaxed geometry. The functional is PBE-GGA.

Computed properties:
As for the total magnetization: 0.00 Bohr magnetons per cell. For the total energy, the calculation gives -6.08 eV/atom. Its crystal system is triclinic. The distance to the lowest polymorph of the same formula is 83 kJ/mol of formula units. The calculation puts the theoretical density at 2.56 g/cm³. Its raw formation energy is -1.38 eV/atom.

```
data_AlPO
_chemical_formula_sum 'Al1 P1 O1'
_symmetry_space_group_name_H-M 'P 1'
_symmetry_Int_Tables_number 1
_symmetry_space_group_name_Hall 'P 1'
_cell_length_a 2.845
_cell_length_b 2.870
_cell_length_c 6.885
_cell_angle_alpha 80.72
_cell_angle_beta 80.63
_cell_angle_gamma 60.49
loop_
_atom_site_label
_atom_site_type_symbol
_atom_site_fract_x
_atom_site_fract_y
_atom_site_fract_z
_atom_site_occupancy
Al1 Al 0.000 0.000 0.000 1
P1 P 0.252 0.232 0.317 1
O1 O 0.696 0.690 0.895 1
```

***

This record from Alexandria via LeMat-Bulk describes crystalline AlPO at its relaxed geometry. The functional is PBE-GGA.

Computed properties:
As for the total magnetization: 0.00 Bohr magnetons per cell. For the total energy, the calculation gives -6.37 eV/atom. Its crystal system is monoclinic. The distance to the lowest polymorph of the same formula is 0 kJ/mol of formula units. The calculation puts the theoretical density at 3.06 g/cm³. Its raw formation energy is -1.67 eV/atom.

```
data_AlPO
_chemical_formula_sum 'Al2 P2 O2'
_symmetry_space_group_name_H-M 'P 1 21/m 1'
_symmetry_Int_Tables_number 11
_symmetry_space_group_name_Hall '-P 2yb'
_cell_length_a 3.655
_cell_length_b 3.527
_cell_length_c 6.221
_cell_angle_alpha 90.00
_cell_angle_beta 91.29
_cell_angle_gamma 90.00
loop_
_atom_site_label
_atom_site_type_symbol
_atom_site_fract_x
_atom_site_fract_y
_atom_site_fract_z
_atom_site_occupancy
Al1 Al 0.247 0.250 0.383 1
P1 P 0.203 0.250 0.009 1
O1 O 0.251 0.750 0.504 1
```

***

This record from Alexandria via LeMat-Bulk describes crystalline AlP3O9 at its relaxed geometry. The functional is PBE-GGA.

Computed properties:
As for the total magnetization: 0.00 Bohr magnetons per cell. For the total energy, the calculation gives -7.31 eV/atom. Its crystal system is monoclinic. The distance to the lowest polymorph of the same formula is 26 kJ/mol of formula units. The calculation puts the theoretical density at 2.82 g/cm³. Its raw formation energy is -2.34 eV/atom.

```
data_AlP3O9
_chemical_formula_sum 'Al12 P36 O108'
_symmetry_space_group_name_H-M 'C 1 c 1'
_symmetry_Int_Tables_number 9
_symmetry_space_group_name_Hall 'C -2yc'
_cell_length_a 13.067
_cell_length_b 18.986
_cell_length_c 9.377
_cell_angle_alpha 90.00
_cell_angle_beta 126.61
_cell_angle_gamma 90.00
loop_
_atom_site_label
_atom_site_type_symbol
_atom_site_fract_x
_atom_site_fract_y
_atom_site_fract_z
_atom_site_occupancy
Al1 Al 0.000 0.080 0.000 1
Al2 Al 0.002 0.412 0.003 1
Al3 Al 0.484 0.254 0.972 1
P1 P 0.126 0.196 0.305 1
P2 P 0.127 0.136 0.812 1
P3 P 0.141 0.471 0.836 1
P4 P 0.229 0.351 0.716 1
P5 P 0.252 0.318 0.253 1
P6 P 0.263 0.016 0.769 1
P7 P 0.354 0.136 0.659 1
P8 P 0.357 0.199 0.157 1
P9 P 0.368 0.469 0.680 1
O1 O 0.017 0.214 0.311 1
O2 O 0.027 0.110 0.831 1
O3 O 0.045 0.462 0.872 1
O4 O 0.084 0.172 0.642 1
O5 O 0.093 0.161 0.140 1
O6 O 0.117 0.473 0.208 1
O7 O 0.130 0.304 0.569 1
O8 O 0.133 0.345 0.084 1
O9 O 0.150 0.023 0.117 1
O10 O 0.158 0.397 0.774 1
O11 O 0.215 0.264 0.348 1
O12 O 0.220 0.147 0.471 1
O13 O 0.221 0.187 0.973 1
O14 O 0.222 0.072 0.852 1
O15 O 0.270 0.405 0.628 1
O16 O 0.280 0.478 0.021 1
O17 O 0.328 0.059 0.697 1
O18 O 0.331 0.274 0.207 1
O19 O 0.344 0.317 0.877 1
O20 O 0.344 0.370 0.390 1
O21 O 0.366 0.026 0.425 1
O22 O 0.371 0.186 0.796 1
O23 O 0.386 0.146 0.294 1
O24 O 0.406 0.499 0.352 1
O25 O 0.456 0.211 0.126 1
O26 O 0.459 0.134 0.638 1
O27 O 0.475 0.447 0.673 1
```

***

> Which value of theoretical density does entry 3 give?

3.07 g/cm³

***

> Number 4 is which compound?

AlPO4

***

> Which of these has the highest theoretical density?

number 3

***

> The highest raw formation energy belongs to which entry?

AlP2O2